# LiZn2Ir | Alexandria | GGA-PBE | relaxed
data_LiZn2Ir
_space_group_name_H-M_alt 'P 1 2/m 1'
_space_group_IT_number 10
_cell_length_a 2.782
_cell_length_b 3.764
_cell_length_c 5.391
_cell_angle_alpha 90.00
_cell_angle_beta 90.10
_cell_angle_gamma 90.00
loop_
_space_group_symop_operation_xyz
'x,y,z'
'-x,-y,-z'
'-x,y,-z'
'x,-y,z'
loop_
_atom_site_label
_atom_site_type_symbol
_atom_site_fract_x
_atom_site_fract_y
_atom_site_fract_z
Li1 Li 0.000 0.000 0.000
Zn1 Zn 0.500 0.500 0.258
Ir1 Ir 0.000 0.000 0.500
# - crystal system = monoclinic
# - DOS(E_F) (states/eV/f.u.) = 2.14
# - calculated density (kg/m³) = 9706
# - excess energy over the best structure of this formula in the dataset (eV/atom) = 0.1094